Here is crystalline LaZrCu at its relaxed geometry from Alexandria. Energies are from PBE-GGA.

Properties
**Space group**: Cm (8)
**DFT total energy**: -5.7957 eV per atom
**Energy of formation from the pure elements**: 0.0616 eV/atom
**Distance to the lowest polymorph of the same formula**: 0.33 eV per formula unit
**Density of states at the Fermi level**: 7.01 states/eV per cell

a b c (Å): 4.6117 7.4149 6.5093
angles (deg): 46.98 89.99 108.12
Last column: nearest neighbours and their distance in Å.
Element x y z (fractional)
Zr (0.3528, 0.2869, 0.2762)  2 Cu 2.71-2.83
Zr (0.0712, 0.7246, 0.9787)  3 Cu 2.75-2.76
Cu (0.5606, 0.7031, 0.2265)  3 Zr 2.71-2.76, 2 Cu 2.76-2.77, 2 La 2.95-3.03
Cu (0.1737, 0.9284, 0.2135)  2 Zr 2.75-2.83, 2 Cu 2.76-2.77, 2 La 3.02
La (0.6297, 0.8407, 0.5741)  3 Cu 3.02-3.03, 5 Zr 3.13-3.24
La (0.8608, 0.3031, 0.7385)  6 Cu 2.95-3.30